# 1
! GGA-PBEsol CdIn2, relaxed; values from VASP
! * total DFT energy (no corrections): -2.350 eV/atom
! * total magnetization: 0.00 μB per cell
! * energy relative to the elements: 0.037 eV per atom
&SYSTEM
  ibrav = 0, nat = 6, ntyp = 2
/
ATOMIC_SPECIES
Cd 112.41 Cd.upf
In 114.82 In.upf
CELL_PARAMETERS angstrom
5.770 -1.644 0.000
5.770 1.644 0.000
-2.783 0.000 7.616
ATOMIC_POSITIONS angstrom
Cd 0.000 0.000 0.000
Cd 6.852 0.000 2.401
In -0.868 0.000 4.358
In 2.205 0.000 5.025
In 3.706 0.000 1.888
In 5.630 0.000 6.972

---

# 2
! GGA-PBEsol CdIn3, relaxed; values from VASP
! * total DFT energy (no corrections): -2.513 eV/atom
! * total magnetization: 0.00 μB per cell
! * energy relative to the elements: 0.024 eV per atom
&SYSTEM
  ibrav = 0, nat = 4, ntyp = 2
/
ATOMIC_SPECIES
Cd 112.41 Cd.upf
In 114.82 In.upf
CELL_PARAMETERS angstrom
3.192 -4.795 0.000
3.192 4.795 0.000
0.000 0.000 3.164
ATOMIC_POSITIONS angstrom
Cd 0.000 0.000 0.000
In 1.596 2.397 1.582
In 1.596 -2.397 1.582
In 3.192 0.000 0.000

---

# 3
! GGA-PBEsol Cd3In4, relaxed; values from VASP
! * total DFT energy (no corrections): -2.172 eV/atom
! * total magnetization: 0.00 μB per cell
! * energy relative to the elements: 0.045 eV per atom
! * offset from the most stable computed form: 0.0000 eV per atom
&SYSTEM
  ibrav = 0, nat = 7, ntyp = 2
/
ATOMIC_SPECIES
Cd 112.41 Cd.upf
In 114.82 In.upf
CELL_PARAMETERS angstrom
5.701 0.000 0.000
-2.851 4.937 0.000
0.000 0.000 6.000
ATOMIC_POSITIONS angstrom
Cd -1.425 2.469 0.000
Cd 2.851 0.000 0.000
Cd 1.425 2.469 0.000
In 0.000 0.000 1.548
In 0.000 0.000 4.452
In 0.000 3.292 3.000
In 2.851 1.646 3.000

---

Look up the energy relative to the elements of the first one.
0.037 eV per atom

---

What is the energy relative to the elements in the first record?
0.037 eV per atom

---

total magnetization of number 2 (CdIn3)?
0.00 μB per cell